Cd4Sn: optimized geometry, PBE.

Cell and atoms, written as POSCAR:
```
Cd4Sn
1.0
5.028 0.000 0.000
0.000 3.272 0.000
-1.819 0.000 7.433
Cd Sn
4 1
Direct
0.107 0.000 0.214 Cd
0.289 0.500 0.597 Cd
0.711 0.500 0.403 Cd
0.893 0.000 0.786 Cd
0.500 0.500 0.000 Sn
```

Properties
distance to the lowest polymorph of the same formula	4.8	meV/atom
symmetry	P2/m

Tm3Zr2UN6: optimized geometry, PBE.

Cell and atoms, written as POSCAR:
```
Tm3Zr2UN6
1.0
2.896 -5.025 0.000
2.896 5.025 0.000
-1.911 0.000 5.488
Tm Zr U N
3 2 1 6
Direct
0.000 0.000 0.000 Tm
0.330 0.670 0.000 Tm
0.670 0.330 0.000 Tm
0.167 0.833 0.500 Zr
0.833 0.167 0.500 Zr
0.500 0.500 0.500 U
0.093 0.420 0.260 N
0.254 0.254 0.736 N
0.420 0.093 0.260 N
0.580 0.907 0.740 N
0.746 0.746 0.264 N
0.907 0.580 0.740 N
```

Properties
formation energy without anion corrections	-1730	meV per atom
symmetry	C2/m

CdRuBr2: optimized geometry, PBE.

Cell and atoms, written as POSCAR:
```
CdRuBr2
1.0
0.000 3.518 3.518
3.518 0.000 3.518
3.518 3.518 0.000
Cd Ru Br
1 1 2
Direct
0.000 0.000 0.000 Cd
0.500 0.500 0.500 Ru
0.250 0.250 0.250 Br
0.750 0.750 0.750 Br
```

Properties
formation energy without anion corrections	540	meV per atom
distance to the lowest polymorph of the same formula	571.5	meV/atom
symmetry	Fm-3m

Ba2ScNi: optimized geometry, PBE.

Cell and atoms, written as POSCAR:
```
Ba2ScNi
1.0
0.000 4.049 4.049
4.049 0.000 4.049
4.049 4.049 0.000
Ba Sc Ni
2 1 1
Direct
0.250 0.250 0.250 Ba
0.750 0.750 0.750 Ba
0.000 0.000 0.000 Sc
0.500 0.500 0.500 Ni
```

Properties
distance to the lowest polymorph of the same formula	500.9	meV/atom
symmetry	Fm-3m

ReAgSb2: optimized geometry, PBE.

Cell and atoms, written as POSCAR:
```
ReAgSb2
1.0
-1.603 2.054 6.724
1.603 -2.054 6.724
1.603 2.054 -6.724
Re Ag Sb
1 1 2
Direct
0.000 0.000 0.000 Re
0.217 0.717 0.500 Ag
0.562 0.562 0.000 Sb
0.838 0.338 0.500 Sb
```

Properties
formation energy without anion corrections	427	meV per atom
distance to the lowest polymorph of the same formula	105.7	meV/atom
symmetry	Imm2

LiTeRu4: optimized geometry, PBE.

Cell and atoms, written as POSCAR:
```
LiTeRu4
1.0
0.000 3.678 3.678
3.678 0.000 3.678
3.678 3.678 0.000
Li Te Ru
1 1 4
Direct
0.000 0.000 0.000 Li
0.250 0.250 0.250 Te
0.125 0.625 0.625 Ru
0.625 0.125 0.625 Ru
0.625 0.625 0.125 Ru
0.625 0.625 0.625 Ru
```

Properties
formation energy without anion corrections	502	meV per atom
symmetry	F-43m

La2PmSmEr: optimized geometry, PBE.

Cell and atoms, written as POSCAR:
```
La2PmSmEr
1.0
6.539 0.000 0.000
0.000 7.897 0.000
0.000 0.000 6.785
La Pm Sm Er
4 2 2 2
Direct
0.250 0.204 0.215 La
0.250 0.796 0.215 La
0.750 0.204 0.785 La
0.750 0.796 0.785 La
0.250 0.500 0.911 Pm
0.750 0.500 0.089 Pm
0.250 0.000 0.693 Sm
0.750 0.000 0.307 Sm
0.000 0.500 0.500 Er
0.500 0.500 0.500 Er
```

Properties
symmetry	Pmma

K2HfCl2O2: optimized geometry, PBE.

Cell and atoms, written as POSCAR:
```
K2HfCl2O2
1.0
-2.098 2.098 8.118
2.098 -2.098 8.118
2.098 2.098 -8.118
K Hf Cl O
2 1 2 2
Direct
0.124 0.124 0.000 K
0.876 0.876 0.000 K
0.500 0.500 0.000 Hf
0.339 0.339 0.000 Cl
0.661 0.661 0.000 Cl
0.000 0.500 0.500 O
0.500 0.000 0.500 O
```

Properties
formation energy without anion corrections	-2415	meV per atom
symmetry	I4/mmm

Nd2MgZn: optimized geometry, PBE.

Cell and atoms, written as POSCAR:
```
Nd2MgZn
1.0
1.823 1.053 10.123
-1.823 1.053 10.123
0.000 -2.106 10.123
Nd Mg Zn
2 1 1
Direct
0.242 0.242 0.242 Nd
0.758 0.758 0.758 Nd
0.000 0.000 0.000 Mg
0.500 0.500 0.500 Zn
```

Properties
distance to the lowest polymorph of the same formula	189.1	meV/atom
symmetry	R-3m

AlTlHg2: optimized geometry, PBE.

Cell and atoms, written as POSCAR:
```
AlTlHg2
1.0
3.175 -5.178 0.000
3.175 5.178 0.000
-1.379 0.000 3.083
Al Tl Hg
1 1 2
Direct
0.000 0.000 0.000 Al
0.500 0.500 0.000 Tl
0.000 0.500 0.500 Hg
0.500 0.000 0.500 Hg
```

Properties
symmetry	C2/m

CrNi2W: optimized geometry, PBE.

Cell and atoms, written as POSCAR:
```
CrNi2W
1.0
2.585 0.000 0.000
0.000 2.585 0.000
0.000 0.000 7.435
Cr Ni W
1 2 1
Direct
0.000 0.000 0.000 Cr
0.500 0.500 0.234 Ni
0.500 0.500 0.766 Ni
0.000 0.000 0.500 W
```

Properties
distance to the lowest polymorph of the same formula	89.7	meV/atom
symmetry	P4/mmm

La2CeHoBi5: optimized geometry, PBE.

Cell and atoms, written as POSCAR:
```
La2CeHoBi5
1.0
5.438 0.000 0.000
0.000 5.438 0.000
0.000 0.000 12.078
La Ce Ho Bi
2 1 1 5
Direct
0.000 0.000 0.219 La
0.000 0.000 0.781 La
0.500 0.500 0.500 Ce
0.500 0.500 0.000 Ho
0.000 0.000 0.500 Bi
0.000 0.500 0.000 Bi
0.500 0.000 0.000 Bi
0.500 0.500 0.251 Bi
0.500 0.500 0.749 Bi
```

Properties
symmetry	P4/mmm

Number 1: E -7.33 eV for the cell shown, calculated volume 122.3 Å³/cell. Number 2: E -112.52 eV for the cell shown, calculated volume 159.7 Å³/cell. Number 3: E -11.38 eV for the cell shown, calculated volume 87.1 Å³/cell. Number 4: E -13.60 eV for the cell shown, calculated volume 132.8 Å³/cell. Number 5: E -21.84 eV for the cell shown, calculated volume 88.5 Å³/cell. Number 6: E -39.15 eV for the cell shown, calculated volume 99.5 Å³/cell. Number 7: E -45.65 eV for the cell shown, calculated volume 350.4 Å³/cell. Number 8: E -42.66 eV for the cell shown, calculated volume 142.9 Å³/cell. Number 9: E -12.49 eV for the cell shown, calculated volume 116.6 Å³/cell. Number 10: E -6.02 eV for the cell shown, calculated volume 101.4 Å³/cell. Number 11: E -33.66 eV for the cell shown, calculated volume 49.7 Å³/cell. Number 12: E -42.27 eV for the cell shown, calculated volume 357.2 Å³/cell.